No. 1
An optimized crystal structure of Rb2NaSbF. Source: Alexandria, functional GGA-PBE.

It has space group P4/mmm (No. 123), with a = 6.001 Å, b = 6.001 Å, c = 4.471 Å, α = 90.00°, β = 90.00° and γ = 90.00°. The inequivalent atoms are Rb at (0.000, 0.500, 0.000), Na at (0.000, 0.000, 0.500), Sb at (0.500, 0.500, 0.500) and F at (0.000, 0.000, 0.000).

Its uncorrected formation energy is -1.176 eV/atom. The total energy is -3.03 eV/atom. Its crystal system is tetragonal.


No. 2
An optimized crystal structure of La2InCo. Source: Alexandria, functional GGA-PBE.

It has space group I-4m2 (No. 119), with a = 4.608 Å, b = 4.608 Å, c = 9.468 Å, α = 90.00°, β = 90.00° and γ = 90.00°. The inequivalent atoms are La at (0.000, 0.000, 0.000), La at (0.000, 0.500, 0.250), In at (0.000, 0.500, 0.750) and Co at (0.000, 0.000, 0.500).

The total energy is -4.92 eV/atom. The calculation puts the formation energy from the elements at 0.02 eV/f.u. Its crystal system is tetragonal.


No. 3
An optimized crystal structure of LiAsW. Source: Alexandria, functional GGA-PBE.

It has space group P3m1 (No. 156), with a = 3.0430 Å, b = 3.0430 Å, c = 6.4264 Å, α = 90.00°, β = 90.00° and γ = 120.00°. The inequivalent atoms are Li at (0.0000, 0.0000, 0.0000), As at (0.3333, 0.6667, 0.6578) and W at (0.6667, 0.3333, 0.3758).

The total energy is -6.27 eV/atom. For the energy relative to the lowest polymorph listed for this composition, the calculation gives 0.487 eV/atom. The calculation puts the formation energy from the elements at 0.69 eV/f.u. Its crystal system is trigonal.


No. 4
An optimized crystal structure of NiTe2MoI. Source: Alexandria, functional GGA-PBE.

It has space group P4/mmm (No. 123), with a = 5.169 Å, b = 5.169 Å, c = 5.879 Å, α = 90.00°, β = 90.00° and γ = 90.00°. The inequivalent atoms are Ni at (0.000, 0.000, 0.000), Te at (0.000, 0.500, 0.500), Mo at (0.500, 0.500, 0.500) and I at (0.500, 0.500, 0.000).

Its uncorrected formation energy is 0.957 eV/atom. The total energy is -3.93 eV/atom. For the energy relative to the lowest polymorph listed for this composition, the calculation gives 0.070 eV/atom. Its crystal system is tetragonal.


No. 5
An optimized crystal structure of In2MoW. Source: Alexandria, functional GGA-PBE.

It has space group I4/mmm (No. 139), with a = 4.046 Å, b = 4.046 Å, c = 9.030 Å, α = 90.00°, β = 90.00° and γ = 90.00°. The inequivalent atoms are In at (0.000, 0.500, 0.250), Mo at (0.000, 0.000, 0.000) and W at (0.000, 0.000, 0.500).

The total energy is -6.67 eV/atom. For the energy relative to the lowest polymorph listed for this composition, the calculation gives 0.352 eV/atom. The calculation puts the formation energy from the elements at 2.60 eV/f.u. Its crystal system is tetragonal.


No. 6
An optimized crystal structure of LiPm2Au8. Source: Alexandria, functional GGA-PBE.

It has space group C2/m (No. 12), with a = 8.002 Å, b = 15.149 Å, c = 5.240 Å, α = 90.00°, β = 130.83° and γ = 90.00°. The inequivalent atoms are Li at (0.000, 0.000, 0.000), Pm at (0.000, 0.316, 0.500), Au at (0.000, 0.188, 0.000), Au at (0.000, 0.500, 0.252) and Au at (0.231, 0.134, 0.732).

The total energy is -3.96 eV/atom. The calculation puts the formation energy from the elements at -5.90 eV/f.u. Its crystal system is monoclinic.


No. 7
An optimized crystal structure of K2Ba2Au. Source: Alexandria, functional GGA-PBE.

It has space group R-3m (No. 166, hexagonal axes), with a = 4.8015 Å, b = 4.8015 Å, c = 44.8852 Å, α = 90.00°, β = 90.00° and γ = 120.00°. The inequivalent atoms are K at (0.0000, 0.0000, 0.1259), Ba at (0.0000, 0.0000, 0.3726) and Au at (0.0000, 0.0000, 0.0000).

The total energy is -2.17 eV/atom. For the energy relative to the lowest polymorph listed for this composition, the calculation gives 0.000 eV/atom. The calculation puts the formation energy from the elements at -1.51 eV/f.u. Its crystal system is trigonal.


No. 8
An optimized crystal structure of Cd3In2Br8. Source: Alexandria, functional GGA-PBE.

It has space group C2/m (No. 12), with a = 16.028 Å, b = 8.298 Å, c = 7.238 Å, α = 90.00°, β = 107.87° and γ = 90.00°. The inequivalent atoms are Cd at (0.000, 0.000, 0.000), Cd at (0.000, 0.258, 0.500), In at (0.232, 0.500, 0.165), Br at (0.102, 0.000, 0.404), Br at (0.102, 0.234, 0.894) and Br at (0.111, 0.500, 0.448).

Its uncorrected formation energy is -0.785 eV/atom. The total energy is -2.45 eV/atom. Its crystal system is monoclinic.